1.
# RbBiOs2O, relaxed, DFT PBE-GGA
data_RbBiOs2O
_space_group_name_H-M_alt 'P 1'
_space_group_IT_number 1
_cell_length_a 5.0654
_cell_length_b 4.1300
_cell_length_c 5.0654
_cell_angle_alpha 90.00
_cell_angle_beta 90.00
_cell_angle_gamma 90.00
loop_
_space_group_symop_operation_xyz
'x,y,z'
loop_
_atom_site_label
_atom_site_fract_x
_atom_site_fract_y
_atom_site_fract_z
O1 0.0000 0.5000 0.0000
Os1 0.0000 0.0000 0.5000
Os2 0.5000 0.0000 0.0000
Bi1 0.5000 0.5000 0.5000
Rb1 0.0000 0.0000 0.0000
# ρ	10.83	g/cm3
# uncorrected formation energy	2.8008	eV/atom
# space group	P4/mmm
# total moment	0.599	μB per atom

=====

2.
# Sc2BiOsO, relaxed, DFT PBE-GGA
data_Sc2BiOsO
_space_group_name_H-M_alt 'P 1'
_space_group_IT_number 1
_cell_length_a 5.4490
_cell_length_b 4.2570
_cell_length_c 5.4490
_cell_angle_alpha 90.00
_cell_angle_beta 90.00
_cell_angle_gamma 90.00
loop_
_space_group_symop_operation_xyz
'x,y,z'
loop_
_atom_site_label
_atom_site_fract_x
_atom_site_fract_y
_atom_site_fract_z
Sc1 0.0000 0.0000 0.5000
Sc2 0.5000 0.0000 0.0000
Os1 0.5000 0.5000 0.5000
Bi1 0.0000 0.0000 0.0000
O1 0.0000 0.5000 0.0000
# ρ	6.64	g/cm3
# uncorrected formation energy	0.9445	eV/atom
# space group	P4/mmm
# total moment	0.172	μB per atom

=====

Number 1: DOS at the Fermi energy 7.500 states/eV per cell. Number 2: DOS at the Fermi energy 3.466 states/eV per cell.